This record from OQMD describes a geometry-optimized YFePd structure. The functional is PBE.

a b c (Å): 4.5383 4.5383 4.5383
angles (deg): 60.00 60.00 60.00
With the nearest neighbours (Å) after each atom.
Fractional positions:
Fe: 0.7500 0.7500 0.7500  4 Y 2.78
Pd: 0.2500 0.2500 0.2500  4 Y 2.78
Y: 0.5000 0.5000 0.5000  4 Pd 2.78, 4 Fe 2.78

Output
For the formation energy, the calculation gives 0.52 eV per atom.